Ca3CdP after structural relaxation, computed with PBE.

a b c (Å): 4.585 4.585 8.373
angles (deg): 90.00 90.00 90.00
Positions (direct):
P1 0.500 0.500 0.608
Ca1 0.000 0.000 0.737
Ca2 0.500 0.000 0.401
Ca3 0.000 0.500 0.401
Cd1 0.000 0.000 0.117

Results
calculated volume = 35.21 Å³ per atom
symmetry = P4mm
offset from the most stable computed form = 388 meV/atom
DFT formation energy = -0.27 eV/atom

---

Ca3CdP after structural relaxation, computed with PBE.

a b c (Å): 28.247 7.004 10.825
angles (deg): 90.00 163.08 90.00
Positions (direct):
P1 0.537 0.752 0.690
P2 0.463 0.248 0.310
P3 0.963 0.252 0.810
P4 0.037 0.748 0.190
Ca1 0.273 0.939 0.919
Ca2 0.727 0.061 0.081
Ca3 0.227 0.439 0.581
Ca4 0.773 0.561 0.419
Ca5 0.351 0.417 0.256
Ca6 0.649 0.583 0.744
Ca7 0.149 0.917 0.244
Ca8 0.851 0.083 0.756
Ca9 0.394 0.898 0.557
Ca10 0.606 0.102 0.443
Ca11 0.106 0.398 0.943
Ca12 0.894 0.602 0.057
Cd1 0.008 0.168 0.443
Cd2 0.992 0.832 0.557
Cd3 0.492 0.668 0.057
Cd4 0.508 0.332 0.943

Results
calculated volume = 31.17 Å³ per atom
symmetry = P2_1/c
offset from the most stable computed form = 0 meV/atom
DFT formation energy = -0.66 eV/atom

---

Ca3CdP after structural relaxation, computed with PBE.

a b c (Å): 7.917 10.874 7.402
angles (deg): 90.00 90.00 90.00
Positions (direct):
P1 0.000 0.000 0.500
P2 0.500 0.500 0.000
P3 0.500 0.000 0.000
P4 0.000 0.500 0.500
Ca1 0.198 0.956 0.810
Ca2 0.302 0.456 0.310
Ca3 0.302 0.044 0.310
Ca4 0.802 0.456 0.190
Ca5 0.802 0.044 0.190
Ca6 0.698 0.544 0.690
Ca7 0.698 0.956 0.690
Ca8 0.198 0.544 0.810
Ca9 0.485 0.250 0.911
Ca10 0.015 0.750 0.411
Ca11 0.515 0.750 0.089
Ca12 0.985 0.250 0.589
Cd1 0.575 0.250 0.466
Cd2 0.925 0.750 0.966
Cd3 0.425 0.750 0.534
Cd4 0.075 0.250 0.034

Results
calculated volume = 31.86 Å³ per atom
symmetry = Pnma
offset from the most stable computed form = 46 meV/atom
DFT formation energy = -0.61 eV/atom

---

CaCdP2 after structural relaxation, computed with PBE.

a b c (Å): 6.092 6.092 6.092
angles (deg): 40.96 40.96 40.96
Positions (direct):
Ca1 0.250 0.250 0.250
Cd1 0.750 0.750 0.750
P1 0.005 0.005 0.005
P2 0.495 0.495 0.495

Results
calculated volume = 21.93 Å³ per atom
symmetry = R-3m
DFT formation energy = -0.21 eV/atom

---

CaCdP2 after structural relaxation, computed with PBE.

a b c (Å): 5.177 3.124 5.179
angles (deg): 89.97 90.00 90.00
Positions (direct):
Ca1 0.000 0.575 0.375
Cd1 0.500 0.800 0.875
P1 0.000 0.063 0.875
P2 0.500 0.062 0.375

Results
calculated volume = 20.94 Å³ per atom
symmetry = P4mm
DFT formation energy = -0.22 eV/atom

---

CaCdP3 after structural relaxation, computed with PBE.

a b c (Å): 5.182 5.182 5.182
angles (deg): 90.00 90.00 90.00
Positions (direct):
P1 0.000 0.500 0.000
P2 0.000 0.000 0.500
P3 0.500 0.000 0.000
Ca1 0.000 0.000 0.000
Cd1 0.500 0.500 0.500

Results
calculated volume = 27.83 Å³ per atom
symmetry = Pm-3m
offset from the most stable computed form = 476 meV/atom
DFT formation energy = 0.99 eV/atom

---

CaCdP2 after structural relaxation, computed with PBE.

a b c (Å): 3.218 4.749 5.729
angles (deg): 90.00 90.00 90.00
Positions (direct):
Ca1 0.000 0.000 0.374
Cd1 0.500 0.500 0.876
P1 0.000 0.000 0.874
P2 0.500 0.500 0.376

Results
calculated volume = 21.89 Å³ per atom
symmetry = Pmm2
DFT formation energy = -0.18 eV/atom

---

Ca3CdP after structural relaxation, computed with PBE.

a b c (Å): 4.326 9.905 7.867
angles (deg): 92.27 74.07 77.38
Positions (direct):
P1 0.934 0.016 0.667
P2 0.113 0.293 0.032
Ca1 0.570 0.471 0.938
Ca2 0.864 0.475 0.347
Ca3 0.347 0.204 0.653
Ca4 0.700 0.105 0.046
Ca5 0.476 0.837 0.760
Ca6 0.182 0.834 0.351
Cd1 0.881 0.738 0.051
Cd2 0.165 0.571 0.648

Results
calculated volume = 31.46 Å³ per atom
symmetry = C2/m
offset from the most stable computed form = 28 meV/atom
DFT formation energy = -0.63 eV/atom

---

Look up the calculated volume of the sixth one.
27.83 Å³ per atom

---

Which of these has the lowest DFT formation energy?
number 2

---

What did the first record say?
Ca3CdP after structural relaxation, computed with PBE.

a b c (Å): 4.585 4.585 8.373
angles (deg): 90.00 90.00 90.00
Positions (direct):
P1 0.500 0.500 0.608
Ca1 0.000 0.000 0.737
Ca2 0.500 0.000 0.401
Ca3 0.000 0.500 0.401
Cd1 0.000 0.000 0.117

Results
calculated volume = 35.21 Å³ per atom
symmetry = P4mm
offset from the most stable computed form = 388 meV/atom
DFT formation energy = -0.27 eV/atom